Below is crystalline Ba2Si at its relaxed geometry, with properties calculated at the PBEsol level.

a = 8.6410 Å, b = 8.6410 Å, c = 5.0849 Å
α = 90.00°, β = 90.00°, γ = 120.00°
Space group P-62m (No. 189)
One atom of each set of equivalent atoms:
Ba 0.0000 0.2620 0.0000 x3
Ba 0.0000 0.5922 0.5000 x3
Si 0.0000 0.0000 0.5000 x1
Si 0.3333 0.6667 0.0000 x2

Calculated values
For the calculated density, the calculation gives 4.587 g cm⁻³. Its total energy is -32.96 eV/cell. As for the formation energy without anion corrections: -0.94 eV per formula unit. As for the magnetic moment: 0.00 μB per formula unit.